The following is a DFT calculation (PBE) of crystalline HfSc5Ag4 at its relaxed geometry.

The value obtained for the calculated formation energy is -201 meV/atom. The calculation puts the density of states at the Fermi level at 1.011 states/eV/atom. The mass density comes out at 6.7 g cm⁻³. The value obtained for the total energy is -5.503 eV/atom.

a = 3.3573 Å, b = 3.3573 Å, c = 18.4595 Å
α = 90.00°, β = 90.00°, γ = 90.00°
Space group P4/mmm (No. 123)
Unique sites:
Hf 0.0000 0.0000 0.0000
Sc 0.5000 0.5000 0.1137
Sc 0.5000 0.5000 0.3079
Sc 0.5000 0.5000 0.5000
Ag 0.0000 0.0000 0.2120
Ag 0.0000 0.0000 0.4045

The following is a DFT calculation (PBE) of crystalline K5As at its relaxed geometry.

The calculation puts the excess energy over the best structure of this formula in the dataset at 0.320 eV/atom. The value obtained for the calculated formation energy is 200 meV/atom. The calculation puts the density of states at the Fermi level at 0.283 states/eV/atom. The mass density comes out at 1.5 g cm⁻³. The value obtained for the total energy is -1.489 eV/atom.

a = 10.5684 Å, b = 10.5684 Å, c = 10.5684 Å
α = 90.00°, β = 90.00°, γ = 90.00°
Space group F-43m (No. 216)
Unique sites:
K 0.0000 0.0000 0.0000
K 0.1224 0.1224 0.6224
As 0.2500 0.2500 0.2500

The following is a DFT calculation (PBE) of crystalline PaTe at its relaxed geometry.

The calculation puts the density of states at the Fermi level at 2.726 states/eV/atom. The mass density comes out at 10.3 g cm⁻³. The value obtained for the raw formation energy is -56.7 kJ/mol of atoms. The value obtained for the total energy is -6.906 eV/atom.

a = 6.1432 Å, b = 6.1432 Å, c = 6.1432 Å
α = 90.00°, β = 90.00°, γ = 90.00°
Space group Fm-3m (No. 225)
Unique sites:
Pa 0.0000 0.0000 0.0000
Te 0.0000 0.0000 0.5000

The following is a DFT calculation (PBE) of crystalline AlSnMo2 at its relaxed geometry.

The calculation puts the excess energy over the best structure of this formula in the dataset at 0.375 eV/atom. The value obtained for the calculated formation energy is 641 meV/atom. The calculation puts the density of states at the Fermi level at 0.802 states/eV/atom. The mass density comes out at 7.7 g cm⁻³. The value obtained for the total energy is -6.711 eV/atom.

a = 7.2888 Å, b = 7.2888 Å, c = 5.4987 Å
α = 90.00°, β = 90.00°, γ = 90.00°
Space group I-42d (No. 122)
Unique sites:
Al 0.0000 0.0000 0.0000
Sn 0.0000 0.0000 0.5000
Mo 0.2224 0.2500 0.1250

The following is a DFT calculation (PBE) of crystalline Rb2Au2Br7 at its relaxed geometry.

The calculation puts the excess energy over the best structure of this formula in the dataset at 0.000 eV/atom. The calculation puts the density of states at the Fermi level at 0.115 states/eV/atom. The mass density comes out at 4.3 g cm⁻³. The value obtained for the raw formation energy is -70.4 kJ/mol of atoms. The value obtained for the total energy is -2.566 eV/atom.

a = 10.3736 Å, b = 16.2530 Å, c = 5.4404 Å
α = 90.00°, β = 109.25°, γ = 90.00°
Space group C2/m (No. 12)
Unique sites:
Rb 0.0000 0.1967 0.0000
Au 0.2144 0.5000 0.3430
Br 0.0000 0.5000 0.5000
Br 0.1076 0.0000 0.8914
Br 0.2298 0.3473 0.3671

The following is a DFT calculation (PBE) of crystalline Ho5P2S2 at its relaxed geometry.

The calculation puts the density of states at the Fermi level at 0.815 states/eV/atom. The mass density comes out at 8.3 g cm⁻³. The value obtained for the raw formation energy is -137.6 kJ/mol of atoms. The value obtained for the total energy is -6.089 eV/atom.

a = 13.9224 Å, b = 7.3408 Å, c = 7.4097 Å
α = 90.00°, β = 90.00°, γ = 90.00°
Space group Cmce (No. 64)
Unique sites:
Ho 0.0000 0.0000 0.0000
Ho 0.1360 0.1597 0.3458
P 0.0000 0.1456 0.6445
S 0.1958 0.0000 0.0000

Question: Among the records above, which one has the lowest mass density?
Answer: K5As